First-principles (PBE) data for a relaxed BaHg2B2O6 crystal, as listed in the Alexandria database.

Calculated values
E_form (uncorrected), meV per atom: -1754

Structure (CIF):
```
data_BaHg2B2O6
_symmetry_space_group_name_H-M 'P -1'
_symmetry_Int_Tables_number 2
_cell_length_a 5.257
_cell_length_b 5.483
_cell_length_c 7.187
_cell_angle_alpha 73.70
_cell_angle_beta 72.37
_cell_angle_gamma 62.43
loop_
_symmetry_equiv_pos_as_xyz
'x,y,z'
'-x,-y,-z'
loop_
_atom_site_label
_atom_site_type_symbol
_atom_site_fract_x
_atom_site_fract_y
_atom_site_fract_z
Ba1 Ba 0.000 0.000 0.000
Hg1 Hg 0.252 0.225 0.374
B1 B 0.388 0.379 0.725
O1 O 0.156 0.363 0.674
O2 O 0.356 0.621 0.765
O3 O 0.364 0.868 0.246
```



First-principles (PBE) data for a relaxed Tb5TmRu3 crystal, as listed in the Alexandria database.

Calculated values
ΔE_f, eV/f.u.: -1.93

Structure (CIF):
```
data_Tb5TmRu3
_symmetry_space_group_name_H-M 'C 1 2/m 1'
_symmetry_Int_Tables_number 12
_cell_length_a 12.271
_cell_length_b 9.061
_cell_length_c 9.916
_cell_angle_alpha 90.00
_cell_angle_beta 112.43
_cell_angle_gamma 90.00
loop_
_symmetry_equiv_pos_as_xyz
'x,y,z'
'-x,-y,-z'
'-x,y,-z'
'x,-y,z'
'x+1/2,y+1/2,z'
'-x+1/2,-y+1/2,-z'
'-x+1/2,y+1/2,-z'
'x+1/2,-y+1/2,z'
loop_
_atom_site_label
_atom_site_type_symbol
_atom_site_fract_x
_atom_site_fract_y
_atom_site_fract_z
Tb1 Tb 0.000 0.200 0.000
Tb2 Tb 0.062 0.000 0.364
Tb3 Tb 0.169 0.301 0.663
Tb4 Tb 0.233 0.500 0.035
Tm1 Tm 0.097 0.500 0.297
Ru1 Ru 0.000 0.500 0.000
Ru2 Ru 0.000 0.500 0.500
Ru3 Ru 0.165 0.000 0.166
Ru4 Ru 0.171 0.000 0.663
```



First-principles (PBE) data for a relaxed Ac2NdIr crystal, as listed in the Alexandria database.

Calculated values
Energy relative to the lowest polymorph listed for this composition, meV per atom: 27.2
ΔE_f, eV/f.u.: -1.49

Structure (CIF):
```
data_Ac2NdIr
_symmetry_space_group_name_H-M 'C m c m'
_symmetry_Int_Tables_number 63
_symmetry_space_group_name_Hall '-C 2c 2'
_cell_length_a 4.083
_cell_length_b 13.048
_cell_length_c 10.396
_cell_angle_alpha 90.00
_cell_angle_beta 90.00
_cell_angle_gamma 90.00
loop_
_atom_site_label
_atom_site_type_symbol
_atom_site_fract_x
_atom_site_fract_y
_atom_site_fract_z
Ac1 Ac 0.000 0.140 0.070
Nd1 Nd 0.000 0.403 0.250
Ir1 Ir 0.000 0.257 0.750
```



First-principles (PBE) data for a relaxed Ca3Cd4In4 crystal, as listed in the Alexandria database.

Calculated values
Energy relative to the lowest polymorph listed for this composition, meV per atom: 0.0
ΔE_f, eV/f.u.: -3.50

Structure (CIF):
```
data_Ca3Cd4In4
_symmetry_space_group_name_H-M 'P -1'
_symmetry_Int_Tables_number 2
_cell_length_a 3.730
_cell_length_b 5.050
_cell_length_c 15.676
_cell_angle_alpha 80.85
_cell_angle_beta 83.23
_cell_angle_gamma 89.96
loop_
_symmetry_equiv_pos_as_xyz
'x,y,z'
'-x,-y,-z'
loop_
_atom_site_label
_atom_site_type_symbol
_atom_site_fract_x
_atom_site_fract_y
_atom_site_fract_z
Ca1 Ca 0.000 0.000 0.000
Ca2 Ca 0.141 0.640 0.718
Cd1 Cd 0.264 0.265 0.472
Cd2 Cd 0.410 0.909 0.184
In1 In 0.315 0.816 0.370
In2 In 0.453 0.452 0.095
```



What M_tot values result from the calculations? In sequence: 0.000 0.000 0.000 0.000 μB/atom.
What DFT total energy values result from the calculations? In sequence: -0.4338 -0.4686 -0.4288 -0.1612 Ry per atom.